{"formula": "MgPaOs4", "functional": "PBE", "state": "relaxed", "space_group": "F-43m, No. 216", "delta_e_f_ev_per_atom": -0.0802, "rho_g_cm3": 16.0, "magnetic_moment_mub_per_cell": 0.00, "dos_at_fermi_per_ev_cell": 5.3, "cell": [[-2.926, 0.084, -4.417], [-4.997, -1.758, 0.098], [-4.022, 3.421, -0.449]], "species": ["Pa", "Os", "Os", "Os", "Os", "Mg"], "fractional_positions": [[0.250, 0.250, 0.250], [0.123, 0.626, 0.626], [0.626, 0.626, 0.123], [0.626, 0.123, 0.626], [0.626, 0.626, 0.626], [0.000, 0.000, 0.000]]}